# 1
Entry from Alexandria: a relaxed structure of Be3GaSi (PBE).

Unit cell a=4.249 b=4.249 c=4.249 alpha=90.00 beta=90.00 gamma=90.00
Fractional positions:
1 Be 0.500 0.000 0.000
2 Be 0.000 0.000 0.500
3 Be 0.000 0.500 0.000
4 Ga 0.500 0.500 0.500
5 Si 0.000 0.000 0.000

Properties
size of the total moment: 0.0 μB/f.u.
calculated total energy: -3.10 eV/atom
ΔE_f (raw): 4.138 eV per formula unit

---

# 2
Entry from Alexandria: a relaxed structure of Be2GaSi (PBE).

Unit cell a=4.114 b=4.114 c=4.114 alpha=60.00 beta=60.00 gamma=60.00
Fractional positions:
1 Be 0.750 0.750 0.750
2 Be 0.250 0.250 0.250
3 Si 0.000 0.000 0.000
4 Ga 0.500 0.500 0.500

Properties
size of the total moment: 0.0 μB/f.u.
calculated total energy: -3.49 eV/atom
ΔE_f (raw): 1.937 eV per formula unit

---

# 3
Entry from Alexandria: a relaxed structure of Be2Ga2Si (PBE).

Unit cell a=7.420 b=7.420 c=2.489 alpha=90.00 beta=90.00 gamma=90.00
Fractional positions:
1 Be 0.853 0.353 0.500
2 Be 0.147 0.647 0.500
3 Be 0.647 0.853 0.500
4 Be 0.353 0.147 0.500
5 Ga 0.851 0.649 0.000
6 Ga 0.649 0.149 0.000
7 Ga 0.149 0.351 0.000
8 Ga 0.351 0.851 0.000
9 Si 0.000 0.000 0.000
10 Si 0.500 0.500 0.000

Properties
size of the total moment: 0.0 μB/f.u.
calculated total energy: -3.38 eV/atom
ΔE_f (raw): 2.014 eV per formula unit

---

# 4
Entry from Alexandria: a relaxed structure of BeGaSi (PBE).

Unit cell a=3.943 b=3.943 c=3.943 alpha=60.00 beta=60.00 gamma=60.00
Fractional positions:
1 Si 0.000 0.000 0.000
2 Ga 0.500 0.500 0.500
3 Be 0.250 0.250 0.250

Properties
size of the total moment: 0.0 μB/f.u.
calculated total energy: -3.87 eV/atom
ΔE_f (raw): 0.574 eV per formula unit

---

> What is the calculated total energy in the third record?

-3.38 eV/atom

---

> Which formula does entry 1 have?

Be3GaSi